Entry P
VASP calculation (PBE) on crystalline ZrSc2Au2 at its relaxed geometry.

Cell and atoms, written as POSCAR:
```
ZrSc2Au2
1.0
7.991 0.000 0.000
0.000 7.991 0.000
0.000 0.000 3.221
Zr Sc Au
2 4 4
direct
0.000 0.000 0.000
0.500 0.500 0.000
0.148 0.352 0.000
0.352 0.852 0.000
0.648 0.148 0.000
0.852 0.648 0.000
0.150 0.650 0.500
0.350 0.150 0.500
0.650 0.850 0.500
0.850 0.350 0.500
```

Properties
Total moment ... 1.7 μB per formula unit
Space-group type ... P4/mbm, No. 127

=====

Entry Q
VASP calculation (PBE) on crystalline ZrSc2Au2 at its relaxed geometry.

Cell and atoms, written as POSCAR:
```
ZrSc2Au2
1.0
7.842 0.000 0.000
0.000 7.842 0.000
0.000 0.000 3.404
Zr Sc Au
2 4 4
direct
0.000 0.000 0.000
0.500 0.500 0.000
0.165 0.335 0.500
0.335 0.835 0.500
0.665 0.165 0.500
0.835 0.665 0.500
0.133 0.633 0.000
0.367 0.133 0.000
0.633 0.867 0.000
0.867 0.367 0.000
```

Properties
Total moment ... 0.0 μB per formula unit
Space-group type ... P4/mbm, No. 127

=====

Most stable pick: entry Q. Distance to second place: 105 meV/atom.

=====

Entry P
VASP calculation (PBE) on crystalline ZrSc3Au at its relaxed geometry.

Cell and atoms, written as POSCAR:
```
ZrSc3Au
1.0
5.066 0.000 0.000
0.000 5.066 0.000
0.000 0.000 5.066
Zr Sc Au
1 3 1
direct
0.000 0.000 0.000
0.000 0.000 0.500
0.000 0.500 0.000
0.500 0.000 0.000
0.500 0.500 0.500
```

Properties
Total moment ... 0.0 μB per formula unit
Space-group type ... Pm-3m, No. 221

=====

Entry Q
VASP calculation (PBE) on crystalline ZrSc3Au at its relaxed geometry.

Cell and atoms, written as POSCAR:
```
ZrSc3Au
1.0
5.143 0.000 0.000
0.000 5.143 0.000
0.000 0.000 5.143
Zr Sc Au
1 3 1
direct
0.000 0.000 0.000
0.000 0.500 0.500
0.500 0.000 0.500
0.500 0.500 0.000
0.500 0.500 0.500
```

Properties
Total moment ... 1.4 μB per formula unit
Space-group type ... Pm-3m, No. 221

=====

Most stable pick: entry Q. Distance to second place: 461 meV/atom.

=====

Entry P
VASP calculation (PBE) on crystalline AuSe5 at its relaxed geometry.

Cell and atoms, written as POSCAR:
```
AuSe5
1.0
0.000 4.017 4.017
4.017 0.000 4.017
4.017 4.017 0.000
Au Se
1 5
direct
0.000 0.000 0.000
0.378 0.378 0.378
0.378 0.378 0.867
0.378 0.867 0.378
0.750 0.750 0.750
0.867 0.378 0.378
```

Properties
Total moment ... 0.0 μB per formula unit
Space-group type ... F-43m, No. 216

=====

Entry Q
VASP calculation (PBE) on crystalline AuSe5 at its relaxed geometry.

Cell and atoms, written as POSCAR:
```
AuSe5
1.0
1.854 -5.635 0.000
1.854 5.635 0.000
0.000 0.000 8.657
Au Se
1 5
direct
0.000 0.000 0.000
0.167 0.833 0.500
0.351 0.649 0.000
0.500 0.500 0.500
0.649 0.351 0.000
0.833 0.167 0.500
```

Properties
Total moment ... 0.0 μB per formula unit
Space-group type ... Cmmm, No. 65

=====

Entry R
VASP calculation (PBE) on crystalline AuSe5 at its relaxed geometry.

Cell and atoms, written as POSCAR:
```
AuSe5
1.0
5.100 0.000 0.000
-2.550 4.417 0.000
0.000 0.000 7.507
Au Se
1 5
direct
0.000 0.000 0.000
0.000 0.500 0.500
0.333 0.667 0.000
0.500 0.000 0.500
0.500 0.500 0.500
0.667 0.333 0.000
```

Properties
Total moment ... 2.0 μB per formula unit
Space-group type ... P6/mmm, No. 191

=====

Most stable pick: entry Q. Distance to second place: 397 meV/atom.